Computed, not measured: an optimized crystal structure of Tl2PRh at the PBE level of DFT.

Unit cell a=6.806 b=6.806 c=6.806 alpha=152.12 beta=140.41 gamma=49.12
Positions (direct):
P1 0.573 0.573 0.000
Rh1 0.699 0.199 0.500
Tl1 0.263 0.763 0.500
Tl2 0.966 0.966 0.000

Summary:
- Volume: 23.4 A^3/atom
- ΔE to the lowest computed polymorph: 164.3 meV per atom
- M_tot: 0.000 μB per formula unit
- Fermi-level density of states: 0.65 states/eV/atom


Computed, not measured: an optimized crystal structure of YCo2SnSb at the PBE level of DFT.

Unit cell a=4.862 b=5.774 c=4.862 alpha=90.00 beta=90.00 gamma=90.00
Site moments in Bohr magnetons follow the coordinates.
Positions (direct):
Co1 0.000 0.000 0.500  1.40
Co2 0.500 0.000 0.000  1.20
Sn1 0.500 0.500 0.500  -0.01
Y1 0.000 0.000 0.000  -0.17
Sb1 0.000 0.500 0.000  0.07

Summary:
- Volume: 27.3 A^3/atom
- M_tot: 2.536 μB per formula unit
- ΔE_f (raw): 1162 meV/atom
- Fermi-level density of states: 1.11 states/eV/atom


Computed, not measured: an optimized crystal structure of Tl2CoSe at the PBE level of DFT.

Unit cell a=8.512 b=8.512 c=3.554 alpha=77.98 beta=77.98 gamma=22.52
Site moments in Bohr magnetons follow the coordinates.
Positions (direct):
Tl1 0.086 0.086 0.914  -0.02
Tl2 0.414 0.414 0.586  -0.02
Co1 0.750 0.750 0.750  0.97
Se1 0.250 0.250 0.250  0.04

Summary:
- Volume: 24.1 A^3/atom
- ΔE to the lowest computed polymorph: 96.1 meV per atom
- M_tot: 0.909 μB per formula unit
- ΔE_f (raw): 101 meV/atom
- Fermi-level density of states: 1.05 states/eV/atom


Computed, not measured: an optimized crystal structure of AlVCr at the PBE level of DFT.

Unit cell a=3.040 b=4.945 c=5.859 alpha=105.82 beta=90.00 gamma=107.90
Site moments in Bohr magnetons follow the coordinates.
Positions (direct):
Al1 0.157 0.313 0.592  -0.01
Al2 0.843 0.687 0.408  -0.01
Cr1 0.486 0.972 0.760  0.64
Cr2 0.514 0.028 0.240  0.64
V1 0.158 0.316 0.076  -0.24
V2 0.842 0.684 0.924  -0.24

Summary:
- Volume: 13.4 A^3/atom
- ΔE to the lowest computed polymorph: 52.2 meV per atom
- M_tot: 0.389 μB per formula unit
- Fermi-level density of states: 0.71 states/eV/atom


Computed, not measured: an optimized crystal structure of TiReMoH2 at the PBE level of DFT.

Unit cell a=3.561 b=5.156 c=3.561 alpha=90.00 beta=90.00 gamma=90.00
Positions (direct):
H1 0.500 0.000 0.000
H2 0.000 0.000 0.500
Ti1 0.000 0.000 0.000
Re1 0.000 0.500 0.000
Mo1 0.500 0.500 0.500

Summary:
- Final energy: -0.2538 hartree per atom
- Volume: 13.1 A^3/atom
- M_tot: 0.000 μB per formula unit
- Fermi-level density of states: 0.66 states/eV/atom


Computed, not measured: an optimized crystal structure of Pm3Zn2Cd6 at the PBE level of DFT.

Unit cell a=4.168 b=4.168 c=16.390 alpha=97.30 beta=97.30 gamma=90.00
Positions (direct):
Cd1 0.080 0.580 0.161
Cd2 0.920 0.420 0.839
Cd3 0.728 0.728 0.455
Cd4 0.420 0.920 0.839
Cd5 0.580 0.080 0.161
Cd6 0.272 0.272 0.545
Zn1 0.641 0.641 0.282
Zn2 0.359 0.359 0.718
Pm1 0.000 0.000 0.000
Pm2 0.170 0.170 0.339
Pm3 0.830 0.830 0.661

Summary:
- Final energy: -0.0803 hartree per atom
- Volume: 25.5 A^3/atom
- M_tot: 0.000 μB per formula unit
- Fermi-level density of states: 0.67 states/eV/atom


Computed, not measured: an optimized crystal structure of SmErCd6 at the PBE level of DFT.

Unit cell a=4.896 b=6.547 c=6.547 alpha=113.47 beta=90.00 gamma=90.00
Positions (direct):
Cd1 0.000 0.629 0.942
Cd2 0.000 0.578 0.422
Cd3 0.500 0.873 0.563
Cd4 0.500 0.926 0.074
Cd5 0.000 0.058 0.371
Cd6 0.500 0.437 0.127
Sm1 0.500 0.386 0.614
Er1 0.000 0.114 0.886

Summary:
- Final energy: -0.0782 hartree per atom
- Volume: 24.1 A^3/atom
- M_tot: 0.000 μB per formula unit
- Fermi-level density of states: 0.45 states/eV/atom


Computed, not measured: an optimized crystal structure of Ac2LaThBi5 at the PBE level of DFT.

Unit cell a=5.766 b=5.766 c=12.336 alpha=90.00 beta=90.00 gamma=90.00
Positions (direct):
Bi1 0.500 0.000 0.500
Bi2 0.000 0.500 0.500
Bi3 0.000 0.000 0.247
Bi4 0.500 0.500 0.000
Bi5 0.000 0.000 0.753
Ac1 0.500 0.500 0.281
Ac2 0.500 0.500 0.719
La1 0.000 0.000 0.000
Th1 0.000 0.000 0.500

Summary:
- Final energy: -0.1718 hartree per atom
- Volume: 45.6 A^3/atom
- M_tot: 0.000 μB per formula unit
- Fermi-level density of states: 0.78 states/eV/atom


Computed, not measured: an optimized crystal structure of KNb3Sb at the PBE level of DFT.

Unit cell a=5.227 b=5.227 c=5.227 alpha=90.00 beta=90.00 gamma=90.00
Positions (direct):
K1 0.500 0.500 0.500
Nb1 0.000 0.500 0.000
Nb2 0.500 0.000 0.000
Nb3 0.000 0.000 0.500
Sb1 0.000 0.000 0.000

Summary:
- Volume: 28.6 A^3/atom
- ΔE to the lowest computed polymorph: 0.0 meV per atom
- M_tot: 0.000 μB per formula unit
- ΔE_f (raw): 1555 meV/atom
- Fermi-level density of states: 1.67 states/eV/atom


Computed, not measured: an optimized crystal structure of Dy12Ho5Er at the PBE level of DFT.

Unit cell a=14.947 b=10.580 c=4.985 alpha=90.00 beta=90.00 gamma=45.06
Positions (direct):
Ho1 0.167 0.667 0.500
Ho2 0.500 0.000 0.500
Ho3 0.833 0.333 0.500
Ho4 0.333 0.333 0.000
Ho5 0.667 0.667 0.000
Dy1 0.333 0.000 0.000
Dy2 0.667 0.333 0.000
Dy3 0.834 0.000 0.500
Dy4 0.500 0.667 0.500
Dy5 0.167 0.333 0.500
Dy6 0.166 0.000 0.500
Dy7 0.000 0.333 0.000
Dy8 0.833 0.667 0.500
Dy9 0.333 0.667 0.000
Dy10 0.000 0.667 0.000
Dy11 0.667 0.000 0.000
Dy12 0.500 0.333 0.500
Er1 0.000 0.000 0.000

Summary:
- Final energy: -0.1681 hartree per atom
- Volume: 31.0 A^3/atom
- M_tot: 0.000 μB per formula unit
- Fermi-level density of states: 1.35 states/eV/atom


Computed, not measured: an optimized crystal structure of Ho4CdInHg2 at the PBE level of DFT.

Unit cell a=5.260 b=5.260 c=9.151 alpha=73.30 beta=73.30 gamma=60.00
Positions (direct):
Ho1 0.625 0.625 0.126
Ho2 0.875 0.875 0.375
Ho3 0.125 0.125 0.625
Ho4 0.375 0.375 0.874
Hg1 0.753 0.753 0.740
Hg2 0.247 0.247 0.260
In1 0.000 0.000 0.000
Cd1 0.500 0.500 0.500

Summary:
- Final energy: -0.1192 hartree per atom
- Volume: 25.9 A^3/atom
- M_tot: 0.001 μB per formula unit
- Fermi-level density of states: 1.13 states/eV/atom


Computed, not measured: an optimized crystal structure of V6FeW at the PBE level of DFT.

Unit cell a=4.206 b=5.173 c=5.173 alpha=109.21 beta=90.00 gamma=90.00
Positions (direct):
V1 0.000 0.121 0.370
V2 0.500 0.372 0.123
V3 0.500 0.877 0.628
V4 0.500 0.872 0.128
V5 0.000 0.630 0.879
V6 0.000 0.628 0.372
Fe1 0.000 0.123 0.877
W1 0.500 0.376 0.624

Summary:
- Volume: 13.3 A^3/atom
- ΔE to the lowest computed polymorph: 0.0 meV per atom
- M_tot: 0.000 μB per formula unit
- Fermi-level density of states: 1.29 states/eV/atom